(1)
Al3Ag13: relaxed, PBE-GGA.

## Properties
Crystal system   orthorhombic
E_form   -1.76 kJ/mol of atoms
Calculated density   8.825 Mg/m³
DOS(E_F)   0.243 states/eV/atom

Cell: 8.5823 7.9777 8.1527 Å, 90.00 90.00 90.00°
Last column: nearest neighbours and their distance in Å.
Space group Amm2 (No. 38)
One atom of each set of equivalent atoms:
Al  0.0000  0.0000  0.0000 x2  10 Ag 2.82-2.90, 2 Al 3.15
Al  0.2583  0.0000  0.2754 x4  11 Ag 2.85-3.00, 1 Al 3.15
Ag  0.0000  0.0000  0.5236 x2  10 Ag 2.80-2.95, 2 Al 3.00
Ag  0.0000  0.2289  0.2631 x4  8 Ag 2.80-3.02, 4 Al 2.82-2.90
Ag  0.2457  0.0000  0.7666 x4  11 Ag 2.83-3.02, 1 Al 2.84
Ag  0.2462  0.2428  0.0191 x8  9 Ag 2.83-2.99, 3 Al 2.85-2.87
Ag  0.5000  0.0000  0.0236 x2  10 Ag 2.83-3.02, 2 Al 2.92
Ag  0.5000  0.0000  0.5159 x2  10 Ag 2.83-2.99, 2 Al 2.85
Ag  0.5000  0.2495  0.2694 x4  10 Ag 2.83-2.98, 2 Al 2.88


(2)
Sr2HgPd6: relaxed, PBE-GGA.

## Properties
Crystal system   monoclinic
E_form   -41.85 kJ/mol of atoms
Calculated density   8.957 Mg/m³
DOS(E_F)   0.592 states/eV/atom

Cell: 9.9354 5.8231 6.6828 Å, 90.00 103.39 90.00°
Last column: nearest neighbours and their distance in Å.
Space group C2/m (No. 12)
One atom of each set of equivalent atoms:
Sr  0.1423  0.0000  0.3342 x4  6 Pd 3.07-3.11
Hg  0.0000  0.5000  0.5000 x2  6 Pd 2.73-2.78
Pd  0.1154  0.5000  0.1674 x4  1 Hg 2.73, 7 Pd 2.75-2.94
Pd  0.1385  0.2395  0.8338 x8  6 Pd 2.75-3.03, 1 Hg 2.78, 1 Sr 3.07


(3)
PuHgPd: relaxed, PBE-GGA.

## Properties
Crystal system   monoclinic
E_form   -6.38 kJ/mol of atoms
Calculated density   15.480 Mg/m³
DOS(E_F)   1.178 states/eV/atom

Cell: 5.1267 4.2851 10.7688 Å, 90.00 91.96 90.00°
Last column: nearest neighbours and their distance in Å.
Space group C2/m (No. 12)
One atom of each set of equivalent atoms:
Pu  0.1911  0.0000  0.4472 x4  3 Pu 2.30-2.49
Hg  0.2132  0.0000  0.1030 x4  3 Pd 2.84-2.90, 3 Hg 3.06-3.12
Pd  0.1638  0.5000  0.2731 x4  3 Hg 2.84-2.90, 4 Pu 2.85-3.11


(4)
NaAs2Rh4: relaxed, PBE-GGA.

## Properties
Crystal system   tetragonal
E_form   -36.79 kJ/mol of atoms
Calculated density   8.417 Mg/m³
DOS(E_F)   0.725 states/eV/atom

Cell: 7.7772 7.7772 3.8127 Å, 90.00 90.00 90.00°
Last column: nearest neighbours and their distance in Å.
Space group P4_2/mnm (No. 136)
One atom of each set of equivalent atoms:
Na  0.0000  0.0000  0.0000 x2  6 As 2.92-3.21, 8 Rh 3.27
As  0.2345  0.2345  0.5000 x4  6 Rh 2.49-2.50
Rh  0.0711  0.6661  0.5000 x8  3 As 2.49-2.50, 4 Rh 2.75


(5)
CrCu2Br2: relaxed, PBE-GGA.

## Properties
Energy relative to the elements, uncorrected   0.475 eV per atom
Crystal system   tetragonal
E above lowest polymorph   43 meV/atom
Calculated density   5.562 Mg/m³
DOS(E_F)   0.428 states/eV/atom

Cell: 5.0537 5.0537 7.9228 Å, 90.00 90.00 90.00°
Last column: nearest neighbours and their distance in Å.
Space group I4/mmm (No. 139)
One atom of each set of equivalent atoms:
Cr  0.0000  0.0000  0.0000 x2  2 Cu 2.76
Cu  0.0000  0.0000  0.3482 x4  1 Cu 2.41, 4 Br 2.64
Br  0.0000  0.5000  0.2500 x4  4 Cu 2.64


(6)
Sr2SI2: relaxed, PBE-GGA.

## Properties
Energy relative to the elements, uncorrected   -1.772 eV per atom
Crystal system   orthorhombic
Calculated density   3.698 Mg/m³
DOS(E_F)   0.000 states/eV/atom

Cell: 4.6337 21.7148 8.2318 Å, 90.00 90.00 90.00°
Last column: nearest neighbours and their distance in Å.
Space group Cmc2_1 (No. 36)
One atom of each set of equivalent atoms:
Sr  0.0000  0.0179  0.0000 x4  2 S 2.85-2.87
Sr  0.0000  0.3345  0.8650 x4  2 S 2.92
S  0.0000  0.0883  0.2926 x4  4 Sr 2.85-2.92
I  0.0000  0.2615  0.5159 x4  3 Sr 3.28-3.36
I  0.0000  0.4309  0.2230 x4  5 Sr 3.44-3.61